Entry 1:
A plane-wave DFT calculation with GGA-PBEsol was carried out for a relaxed structure of Cs2LiTbCl6.

Formation energy (no corrections) = -2.140 eV per atom

Unit cell a=10.3776 b=10.3776 c=10.3776 alpha=90.00 beta=90.00 gamma=90.00
With the nearest neighbours (Å) after each atom.
Space group Fm-3m (No. 225)
Symmetry-distinct sites (fractional):
Cs: 0.2500 0.2500 0.2500 (multiplicity 8)  12 Cl 3.67
Li: 0.0000 0.0000 0.0000 (multiplicity 4)  6 Cl 2.57
Tb: 0.0000 0.0000 0.5000 (multiplicity 4)  6 Cl 2.62
Cl: 0.0000 0.0000 0.2475 (multiplicity 24)  1 Li 2.57, 1 Tb 2.62

Entry 2:
A plane-wave DFT calculation with GGA-PBEsol was carried out for a relaxed structure of SrPr2O4.

Formation energy (no corrections) = -3.137 eV per atom

Unit cell a=10.0072 b=3.6109 c=12.2464 alpha=90.00 beta=90.00 gamma=90.00
With the nearest neighbours (Å) after each atom.
Space group Pnma (No. 62)
Symmetry-distinct sites (fractional):
Sr: 0.2375 0.2500 0.1493 (multiplicity 4)  7 O 2.61-2.75
Pr: 0.0597 0.7500 0.3808 (multiplicity 4)  6 O 2.28-2.54
Pr: 0.1051 0.7500 0.8954 (multiplicity 4)  6 O 2.38-2.46
O: 0.0142 0.7500 0.7151 (multiplicity 4)  3 Pr 2.28-2.39
O: 0.0598 0.7500 0.0857 (multiplicity 4)  3 Pr 2.38-2.46, 2 Sr 2.65
O: 0.1495 0.2500 0.5069 (multiplicity 4)  3 Pr 2.50-2.54, 2 Sr 2.75
O: 0.2285 0.2500 0.8066 (multiplicity 4)  3 Pr 2.31-2.44

Entry 3:
A plane-wave DFT calculation with GGA-PBEsol was carried out for a relaxed structure of CrRuO2.

Excess energy over the best structure of this formula in the dataset = 0.000 eV per atom
Formation energy (no corrections) = -0.535 eV per atom

Unit cell a=2.8199 b=2.8199 c=18.9510 alpha=90.00 beta=90.00 gamma=120.00
With the nearest neighbours (Å) after each atom.
Space group R-3m (No. 166, hexagonal axes)
Symmetry-distinct sites (fractional):
Cr: 0.0000 0.0000 0.0000 (multiplicity 3)  2 O 1.89
Ru: 0.0000 0.0000 0.5000 (multiplicity 3)  6 O 2.06
O: 0.0000 0.0000 0.0999 (multiplicity 6)  1 Cr 1.89, 3 Ru 2.06

Entry 4:
A plane-wave DFT calculation with GGA-PBEsol was carried out for a relaxed structure of TlWBr2.

Excess energy over the best structure of this formula in the dataset = 0.425 eV per atom
Formation energy (no corrections) = 0.948 eV per atom

Unit cell a=6.6310 b=9.3296 c=3.3948 alpha=90.00 beta=117.63 gamma=90.00
With the nearest neighbours (Å) after each atom.
Space group C2/m (No. 12)
Symmetry-distinct sites (fractional):
Tl: 0.0000 0.0000 0.0000 (multiplicity 2)  4 Br 2.91
W: 0.0000 0.5000 0.0000 (multiplicity 2)  4 Br 2.91
Br: 0.2500 0.2500 0.5000 (multiplicity 4)  2 Tl 2.91, 2 W 2.91

Entry 5:
A plane-wave DFT calculation with GGA-PBEsol was carried out for a relaxed structure of Cd3Ni.

Energy of formation from the pure elements = 0.03 eV per atom

Unit cell a=3.0552 b=3.0552 c=7.4711 alpha=90.00 beta=90.00 gamma=90.00
With the nearest neighbours (Å) after each atom.
Space group P4/mmm (No. 123)
Symmetry-distinct sites (fractional):
Cd: 0.0000 0.0000 0.0000 (multiplicity 1)  12 Cd 3.06
Cd: 0.5000 0.5000 0.2897 (multiplicity 2)  4 Ni 2.67
Ni: 0.0000 0.0000 0.5000 (multiplicity 1)  8 Cd 2.67

Entry 6:
A plane-wave DFT calculation with GGA-PBEsol was carried out for a relaxed structure of Mn2AgCl.

Formation energy (no corrections) = 0.291 eV per atom

Unit cell a=3.0270 b=3.0270 c=24.2421 alpha=90.00 beta=90.00 gamma=120.00
With the nearest neighbours (Å) after each atom.
Space group R-3m (No. 166, hexagonal axes)
Symmetry-distinct sites (fractional):
Mn: 0.0000 0.0000 0.2456 (multiplicity 6)  3 Cl 2.59, 3 Ag 2.75
Ag: 0.0000 0.0000 0.0000 (multiplicity 3)  6 Mn 2.75, 6 Ag 3.03
Cl: 0.0000 0.0000 0.5000 (multiplicity 3)  6 Mn 2.59

Entry 7:
A plane-wave DFT calculation with GGA-PBEsol was carried out for a relaxed structure of Cd7Hg6.

Energy of formation from the pure elements = 0.04 eV per atom

Unit cell a=5.9390 b=5.9390 c=28.6485 alpha=90.00 beta=90.00 gamma=120.00
With the nearest neighbours (Å) after each atom.
Space group R-3m (No. 166, hexagonal axes)
Symmetry-distinct sites (fractional):
Cd: 0.0000 0.0000 0.0000 (multiplicity 3)  6 Cd 2.90
Cd: 0.0038 0.5019 0.4145 (multiplicity 18)  5 Cd 2.90-3.00, 5 Hg 2.99-3.14
Hg: 0.0000 0.0000 0.1662 (multiplicity 6)  6 Cd 2.99
Hg: 0.0000 0.0000 0.3443 (multiplicity 6)  1 Hg 3.02, 3 Cd 3.14
Hg: 0.0000 0.0000 0.4498 (multiplicity 6)  2 Hg 2.88-3.02, 6 Cd 3.14

Entry 8:
A plane-wave DFT calculation with GGA-PBEsol was carried out for a relaxed structure of KLiFe2.

Excess energy over the best structure of this formula in the dataset = 0.000 eV per atom
Energy of formation from the pure elements = 0.81 eV per atom

Unit cell a=9.2105 b=2.7342 c=6.7970 alpha=90.00 beta=92.79 gamma=90.00
With the nearest neighbours (Å) after each atom.
Space group C2/m (No. 12)
Symmetry-distinct sites (fractional):
K: 0.0000 0.0000 0.0000 (multiplicity 2)  2 K 2.73
Li: 0.0000 0.5000 0.5000 (multiplicity 2)  6 Fe 2.57-2.72, 2 Li 2.73
Fe: 0.2415 0.0000 0.6274 (multiplicity 4)  2 Fe 2.22